# Li2GaHg4, optimized geometry, DFT PBE-GGA
# Raw total energy ... -1.30 eV per atom
# V ... 310.97 Å³ per cell
data_Li2GaHg4
_cell_length_a 6.468
_cell_length_b 6.468
_cell_length_c 7.434
_cell_angle_alpha 90.00
_cell_angle_beta 90.00
_cell_angle_gamma 90.00
_symmetry_space_group_name_H-M 'I 4/m m m'
_symmetry_Int_Tables_number 139
_symmetry_space_group_name_Hall '-I 4 2'
loop_
_atom_site_label
_atom_site_type_symbol
_atom_site_fract_x
_atom_site_fract_y
_atom_site_fract_z
Li1 Li 0.000 0.500 0.000
Ga1 Ga 0.000 0.000 0.000
Hg1 Hg 0.250 0.250 0.250



# PuZrO, optimized geometry, DFT PBE-GGA
# Raw total energy ... -10.50 eV per atom
# V ... 224.38 Å³ per cell
# Raw formation energy ... -1.221 eV per atom
data_PuZrO
_cell_length_a 3.238
_cell_length_b 5.731
_cell_length_c 12.093
_cell_angle_alpha 90.00
_cell_angle_beta 90.00
_cell_angle_gamma 90.00
_symmetry_space_group_name_H-M 'F m m 2'
_symmetry_Int_Tables_number 42
_symmetry_space_group_name_Hall 'F 2 -2'
loop_
_atom_site_label
_atom_site_type_symbol
_atom_site_fract_x
_atom_site_fract_y
_atom_site_fract_z
Pu1 Pu 0.000 0.000 0.000
Zr1 Zr 0.000 0.000 0.722
O1 O 0.000 0.000 0.347



# CsMgAgHg2, optimized geometry, DFT PBE-GGA
# Relative energy among the computed polymorphs ... 1.5 kJ per mole of atoms
# Raw total energy ... -1.21 eV per atom
# V ... 169.58 Å³ per cell
data_CsMgAgHg2
_cell_length_a 5.654
_cell_length_b 5.654
_cell_length_c 5.305
_cell_angle_alpha 90.00
_cell_angle_beta 90.00
_cell_angle_gamma 90.00
_symmetry_space_group_name_H-M 'P 4/m m m'
_symmetry_Int_Tables_number 123
_symmetry_space_group_name_Hall '-P 4 2'
loop_
_atom_site_label
_atom_site_type_symbol
_atom_site_fract_x
_atom_site_fract_y
_atom_site_fract_z
Cs1 Cs 0.000 0.000 0.000
Mg1 Mg 0.500 0.500 0.000
Ag1 Ag 0.500 0.500 0.500
Hg1 Hg 0.000 0.500 0.500



# Tm4ThCd, optimized geometry, DFT PBE-GGA
# Relative energy among the computed polymorphs ... 11.2 kJ per mole of atoms
# Raw total energy ... -4.34 eV per atom
# V ... 707.79 Å³ per cell
data_Tm4ThCd
_cell_length_a 8.713
_cell_length_b 14.073
_cell_length_c 6.169
_cell_angle_alpha 90.00
_cell_angle_beta 110.65
_cell_angle_gamma 90.00
_symmetry_space_group_name_H-M 'C 1 2/c 1'
_symmetry_Int_Tables_number 15
loop_
_symmetry_equiv_pos_as_xyz
'x,y,z'
'-x,-y,-z'
'-x,y,-z+1/2'
'x,-y,z+1/2'
'x+1/2,y+1/2,z'
'-x+1/2,-y+1/2,-z'
'-x+1/2,y+1/2,-z+1/2'
'x+1/2,-y+1/2,z+1/2'
loop_
_atom_site_label
_atom_site_type_symbol
_atom_site_fract_x
_atom_site_fract_y
_atom_site_fract_z
Tm1 Tm 0.103 0.189 0.053
Tm2 Tm 0.213 0.391 0.361
Th1 Th 0.000 0.398 0.750
Cd1 Cd 0.000 0.000 0.250



# KPa3Te6, optimized geometry, DFT PBE-GGA
# Raw total energy ... -5.67 eV per atom
# V ... 749.81 Å³ per cell
# Raw formation energy ... -0.824 eV per atom
data_KPa3Te6
_cell_length_a 13.446
_cell_length_b 4.338
_cell_length_c 13.537
_cell_angle_alpha 90.00
_cell_angle_beta 108.28
_cell_angle_gamma 90.00
_symmetry_space_group_name_H-M 'P 1 21/m 1'
_symmetry_Int_Tables_number 11
loop_
_symmetry_equiv_pos_as_xyz
'x,y,z'
'-x,-y,-z'
'-x,y+1/2,-z'
'x,-y+1/2,z'
loop_
_atom_site_label
_atom_site_type_symbol
_atom_site_fract_x
_atom_site_fract_y
_atom_site_fract_z
K1 K 0.111 0.250 0.375
Pa1 Pa 0.152 0.250 0.042
Pa2 Pa 0.279 0.750 0.726
Pa3 Pa 0.479 0.750 0.377
Te1 Te 0.050 0.750 0.143
Te2 Te 0.116 0.250 0.641
Te3 Te 0.255 0.750 0.947
Te4 Te 0.325 0.250 0.256
Te5 Te 0.345 0.750 0.527
Te6 Te 0.443 0.250 0.815



# Ac12Tl6Ni, optimized geometry, DFT PBE-GGA
# Raw total energy ... -3.82 eV per atom
# V ... 2266.11 Å³ per cell
data_Ac12Tl6Ni
_cell_length_a 13.2479
_cell_length_b 13.2479
_cell_length_c 14.9092
_cell_angle_alpha 90.00
_cell_angle_beta 90.00
_cell_angle_gamma 120.00
_symmetry_space_group_name_H-M 'R -3'
_symmetry_Int_Tables_number 148
_symmetry_space_group_name_Hall '-R 3'
loop_
_atom_site_label
_atom_site_type_symbol
_atom_site_fract_x
_atom_site_fract_y
_atom_site_fract_z
Ac1 Ac 0.0353 0.8418 0.3884
Ac2 Ac 0.0361 0.1921 0.8833
Tl1 Tl 0.0053 0.6079 0.2553
Ni1 Ni 0.0000 0.0000 0.0000